Entry from Alexandria: crystalline NdS6I2 at its relaxed geometry (GGA-PBE).

Unit cell a=4.648 b=8.701 c=8.783 alpha=117.48 beta=92.79 gamma=92.57
Space group P-1 (No. 2)
One atom of each set of equivalent atoms:
Nd (0.000, 0.000, 0.000)
S (0.042, 0.735, 0.514)
S (0.044, 0.510, 0.732)
S (0.182, 0.317, 0.317)
I (0.499, 0.145, 0.859)

***

Entry from Alexandria: crystalline Nd4S4I3 at its relaxed geometry (GGA-PBE).

Unit cell a=4.363 b=8.522 c=16.195 alpha=90.00 beta=90.00 gamma=90.00
Space group Immm (No. 71)
One atom of each set of equivalent atoms:
Nd (0.000, 0.000, 0.227)
Nd (0.000, 0.220, 0.500)
S (0.000, 0.301, 0.331)
I (0.000, 0.000, 0.000)
I (0.000, 0.500, 0.104)

***

Entry from Alexandria: crystalline Nd2SI2 at its relaxed geometry (GGA-PBE).

Unit cell a=7.318 b=4.225 c=12.138 alpha=90.00 beta=102.90 gamma=90.00
Space group C2/m (No. 12)
One atom of each set of equivalent atoms:
Nd (0.213, 0.000, 0.124)
S (0.000, 0.500, 0.000)
I (0.054, 0.000, 0.697)

***

Entry from Alexandria: crystalline Nd7SI12 at its relaxed geometry (GGA-PBE).

Unit cell a=16.0153 b=16.0153 c=10.6175 alpha=90.00 beta=90.00 gamma=120.00
Space group R-3 (No. 148, hexagonal axes)
One atom of each set of equivalent atoms:
Nd (0.0000, 0.0000, 0.0000)
Nd (0.0434, 0.1565, 0.3514)
S (0.0000, 0.0000, 0.5000)
I (0.0229, 0.5861, 0.1640)
I (0.0518, 0.1866, 0.8379)

***

no.,total magnetic moment (Bohr magnetons per cell),formation energy from raw total energies (eV per atom),DOS(E_F) (states/eV per atom)
1,0.0,-0.392,0.2939
2,0.0,-1.611,0.1098
3,0.0,-1.672,0.1345
4,0.0,-1.417,0.1656